# 1
Compound: InHPt2Rh
Source: the Alexandria database
Functional: PBE
Structure: optimized geometry

Calculated values
**Size of the total moment**: 0.00 μB per formula unit

Unit cell a=4.039 b=4.039 c=4.142 alpha=90.00 beta=90.00 gamma=90.00
Fractional positions:
H  0.000  0.000  0.000
Rh  0.000  0.000  0.500
Pt  0.000  0.500  0.000
Pt  0.500  0.000  0.000
In  0.500  0.500  0.500

# 2
Compound: InHPt2Rh
Source: the Alexandria database
Functional: PBE
Structure: optimized geometry

Calculated values
**Size of the total moment**: 0.00 μB per formula unit

Unit cell a=3.923 b=3.923 c=4.451 alpha=90.00 beta=90.00 gamma=90.00
Fractional positions:
H  0.000  0.000  0.000
Rh  0.500  0.500  0.500
Pt  0.000  0.500  0.000
Pt  0.500  0.000  0.000
In  0.000  0.000  0.500

# 3
Compound: In2HPtRh
Source: the Alexandria database
Functional: PBE
Structure: optimized geometry

Calculated values
**Size of the total moment**: 0.00 μB per formula unit

Unit cell a=4.689 b=3.396 c=4.689 alpha=90.00 beta=90.00 gamma=90.00
Fractional positions:
H  0.000  0.000  0.000
Rh  0.000  0.500  0.000
Pt  0.500  0.500  0.500
In  0.000  0.000  0.500
In  0.500  0.000  0.000

# 4
Compound: In2HRuPt
Source: the Alexandria database
Functional: PBE
Structure: optimized geometry

Calculated values
**Size of the total moment**: 0.00 μB per formula unit

Unit cell a=4.562 b=4.562 c=3.521 alpha=90.00 beta=90.00 gamma=90.00
Fractional positions:
Ru  0.000  0.000  0.500
H  0.000  0.000  0.000
Pt  0.500  0.500  0.500
In  0.000  0.500  0.000
In  0.500  0.000  0.000

# 5
Compound: Sc2InHPt
Source: the Alexandria database
Functional: PBE
Structure: optimized geometry

Calculated values
**Size of the total moment**: 0.00 μB per formula unit

Unit cell a=4.540 b=4.540 c=3.938 alpha=90.00 beta=90.00 gamma=90.00
Fractional positions:
Sc  0.000  0.500  0.000
Sc  0.500  0.000  0.000
H  0.000  0.000  0.000
Pt  0.000  0.000  0.500
In  0.500  0.500  0.500

# 6
Compound: InSiH2Pt
Source: the Alexandria database
Functional: PBE
Structure: optimized geometry

Calculated values
**Size of the total moment**: 0.00 μB per formula unit

Unit cell a=3.670 b=3.670 c=5.802 alpha=90.00 beta=90.00 gamma=90.00
Fractional positions:
H  0.000  0.500  0.000
H  0.500  0.000  0.000
Si  0.000  0.000  0.000
Pt  0.500  0.500  0.500
In  0.000  0.000  0.500

# 7
Compound: InSn2H2Pt7
Source: the Alexandria database
Functional: PBE
Structure: optimized geometry

Calculated values
**Size of the total moment**: 0.00 μB per formula unit

Unit cell a=4.014 b=4.014 c=11.767 alpha=80.23 beta=80.23 gamma=89.99
Fractional positions:
In  0.000  0.000  0.000
Sn  0.801  0.801  0.399
Sn  0.199  0.199  0.601
H  0.633  0.633  0.837
H  0.367  0.367  0.163
Pt  0.500  0.500  0.000
Pt  0.319  0.319  0.365
Pt  0.681  0.681  0.635
Pt  0.905  0.412  0.188
Pt  0.412  0.905  0.188
Pt  0.588  0.095  0.812
Pt  0.095  0.588  0.812

# 8
Compound: SrInH6Pt2
Source: the Alexandria database
Functional: PBE
Structure: optimized geometry

Calculated values
**Size of the total moment**: 0.00 μB per formula unit

Unit cell a=6.533 b=6.533 c=7.994 alpha=112.95 beta=112.95 gamma=106.71
Fractional positions:
Sr  0.101  0.899  0.250
Sr  0.899  0.101  0.750
In  0.615  0.385  0.250
In  0.385  0.615  0.750
H  0.018  0.430  0.355
H  0.570  0.982  0.145
H  0.982  0.570  0.645
H  0.430  0.018  0.855
H  0.104  0.186  0.126
H  0.814  0.896  0.374
H  0.896  0.814  0.874
H  0.186  0.104  0.626
H  0.393  0.813  0.509
H  0.187  0.607  0.990
H  0.607  0.187  0.490
H  0.813  0.393  0.010
Pt  0.502  0.261  0.827
Pt  0.739  0.498  0.673
Pt  0.498  0.739  0.173
Pt  0.261  0.502  0.327

# 9
Compound: InTcHPt2
Source: the Alexandria database
Functional: PBE
Structure: optimized geometry

Calculated values
**Size of the total moment**: 1.03 μB per formula unit

Unit cell a=4.783 b=5.321 c=4.783 alpha=90.00 beta=90.00 gamma=90.00
Fractional positions:
H  0.500  0.500  0.500
Tc  0.000  0.000  0.000
Pt  0.000  0.000  0.500
Pt  0.500  0.000  0.000
In  0.000  0.500  0.000

# 10
Compound: InTcH2Pt
Source: the Alexandria database
Functional: PBE
Structure: optimized geometry

Calculated values
**Size of the total moment**: 2.57 μB per formula unit

Unit cell a=3.723 b=5.368 c=3.723 alpha=90.00 beta=90.00 gamma=90.00
Fractional positions:
H  0.000  0.000  0.500
H  0.500  0.000  0.000
Tc  0.500  0.500  0.500
Pt  0.000  0.000  0.000
In  0.000  0.500  0.000

# 11
Compound: Ti2InHPt
Source: the Alexandria database
Functional: PBE
Structure: optimized geometry

Calculated values
**Size of the total moment**: 0.00 μB per formula unit

Unit cell a=3.972 b=3.972 c=4.462 alpha=90.00 beta=90.00 gamma=90.00
Fractional positions:
H  0.000  0.000  0.000
Ti  0.000  0.500  0.000
Ti  0.500  0.000  0.000
Pt  0.500  0.500  0.500
In  0.000  0.000  0.500

# 12
Compound: Ti2InHPt
Source: the Alexandria database
Functional: PBE
Structure: optimized geometry

Calculated values
**Size of the total moment**: 0.00 μB per formula unit

Unit cell a=4.153 b=4.153 c=4.079 alpha=90.00 beta=90.00 gamma=90.00
Fractional positions:
H  0.000  0.000  0.000
Ti  0.000  0.500  0.000
Ti  0.500  0.000  0.000
Pt  0.000  0.000  0.500
In  0.500  0.500  0.500

# 13
Compound: ZnIn2HPt
Source: the Alexandria database
Functional: PBE
Structure: optimized geometry

Calculated values
**Size of the total moment**: 0.00 μB per formula unit

Unit cell a=5.355 b=3.451 c=5.355 alpha=90.00 beta=90.00 gamma=90.00
Fractional positions:
H  0.000  0.500  0.000
Zn  0.500  0.500  0.500
Pt  0.000  0.000  0.000
In  0.000  0.000  0.500
In  0.500  0.000  0.000

Number 1: DFT total energy -5.36 eV/atom. Number 2: DFT total energy -5.19 eV/atom. Number 3: DFT total energy -4.65 eV/atom. Number 4: DFT total energy -4.88 eV/atom. Number 5: DFT total energy -5.62 eV/atom. Number 6: DFT total energy -3.75 eV/atom. Number 7: DFT total energy -5.22 eV/atom. Number 8: DFT total energy -3.95 eV/atom. Number 9: DFT total energy -4.41 eV/atom. Number 10: DFT total energy -4.48 eV/atom. Number 11: DFT total energy -5.98 eV/atom. Number 12: DFT total energy -6.03 eV/atom. Number 13: DFT total energy -3.24 eV/atom.